Material: VCoO
Method: DFT, GGA+U
State: relaxed

Unit cell a=2.979 b=2.899 c=5.481 alpha=73.25 beta=74.17 gamma=59.08
Site moments in Bohr magnetons follow the coordinates.
Fractional positions:
1 V 0.115 0.281 0.038  1.69
2 Co 0.584 0.752 0.630  2.23
3 O 0.702 0.895 0.249  -0.01

## Properties
Symmetry = Cm
E_tot = -6.304 eV per atom
Volume = 38 Å³/cell
Density of states at the Fermi level = 0.059 states/eV/atom